(1)
Computed, not measured: a geometry-optimized KZrTlI6 structure at the GGA-PBE level of DFT.

a = 8.3724 Å, b = 8.3724 Å, c = 14.4122 Å
α = 90.00°, β = 90.00°, γ = 120.00°
Space group P-31c (No. 163)
Inequivalent atoms, fractional coordinates:
K1 0.0000 0.0000 0.0000
Zr1 0.3333 0.6667 0.2500
Tl1 0.3333 0.6667 0.7500
I1 0.0510 0.3885 0.1332

Output
Volume ... 48.6 A^3/atom
Density ... 4.2 Mg/m³
Fermi-level density of states ... 0.0 states/eV/cell
ΔE_f (raw) ... -0.977 eV/atom

=====

(2)
Computed, not measured: a geometry-optimized KTmI3 structure at the GGA-PBE level of DFT.

a = 4.108 Å, b = 16.161 Å, c = 11.569 Å
α = 90.00°, β = 90.00°, γ = 90.00°
Space group Cmcm (No. 63)
Inequivalent atoms, fractional coordinates:
K1 0.000 0.242 0.250
Tm1 0.000 0.500 0.000
I1 0.000 0.136 0.555
I2 0.000 0.440 0.750

Output
Volume ... 38.4 A^3/atom
Density ... 5.1 Mg/m³
Fermi-level density of states ... 12.7 states/eV/cell
ΔE_f (raw) ... -1.166 eV/atom

=====

(3)
Computed, not measured: a geometry-optimized KTmI3 structure at the GGA-PBE level of DFT.

a = 5.979 Å, b = 5.979 Å, c = 5.979 Å
α = 90.00°, β = 90.00°, γ = 90.00°
Space group Pm-3m (No. 221)
Inequivalent atoms, fractional coordinates:
K1 0.000 0.000 0.000
Tm1 0.500 0.500 0.500
I1 0.000 0.500 0.500

Output
Volume ... 42.7 A^3/atom
Density ... 4.6 Mg/m³
Fermi-level density of states ... 3.7 states/eV/cell
ΔE_f (raw) ... -1.100 eV/atom

=====

(4)
Computed, not measured: a geometry-optimized KTmVI6 structure at the GGA-PBE level of DFT.

a = 7.5559 Å, b = 7.5559 Å, c = 15.8814 Å
α = 90.00°, β = 90.00°, γ = 120.00°
Space group P-31c (No. 163)
Inequivalent atoms, fractional coordinates:
K1 0.0000 0.0000 0.0000
Tm1 0.3333 0.6667 0.2500
V1 0.3333 0.6667 0.7500
I1 0.0142 0.3730 0.6441

Output
Volume ... 43.6 A^3/atom
Density ... 4.3 Mg/m³
ΔE_f (raw) ... -1.072 eV/atom

=====

(5)
Computed, not measured: a geometry-optimized KU2I8 structure at the GGA-PBE level of DFT.

a = 10.7599 Å, b = 10.7599 Å, c = 6.1962 Å
α = 90.00°, β = 90.00°, γ = 120.00°
Space group P-3 (No. 147)
Inequivalent atoms, fractional coordinates:
K1 0.0000 0.0000 0.0000
U1 0.3333 0.6667 0.2443
I1 0.1746 0.3510 0.2579
I2 0.3333 0.6667 0.7523

Output
Volume ... 56.5 A^3/atom
Density ... 4.1 Mg/m³
Fermi-level density of states ... 18.6 states/eV/cell
ΔE_f (raw) ... -0.817 eV/atom

=====

(6)
Computed, not measured: a geometry-optimized K3UI7 structure at the GGA-PBE level of DFT.

a = 12.372 Å, b = 11.194 Å, c = 9.315 Å
α = 90.00°, β = 125.88°, γ = 90.00°
Space group Cm (No. 8)
Inequivalent atoms, fractional coordinates:
K1 0.000 0.000 0.000
K2 0.014 0.280 0.603
U1 0.062 0.500 0.155
I1 0.129 0.245 0.321
I2 0.209 0.500 0.981
I3 0.368 0.173 0.844
I4 0.369 0.000 0.260
I5 0.375 0.500 0.526

Output
Volume ... 47.5 A^3/atom
Density ... 4.0 Mg/m³
Fermi-level density of states ... 13.1 states/eV/cell
ΔE_f (raw) ... -1.129 eV/atom